[1]
KRbHgSb | PBE | optimized geometry

```
data_KRbHgSb
_chemical_formula_sum 'K1 Rb1 Hg1 Sb1'
_symmetry_space_group_name_H-M 'P 1 m 1'
_symmetry_Int_Tables_number 6
_cell_length_a 5.920
_cell_length_b 5.575
_cell_length_c 6.673
_cell_angle_alpha 90.00
_cell_angle_beta 91.32
_cell_angle_gamma 90.00
loop_
_symmetry_equiv_pos_as_xyz
'x,y,z'
'x,-y,z'
loop_
_atom_site_label
_atom_site_fract_x
_atom_site_fract_y
_atom_site_fract_z
_atom_site_occupancy
K1 0.000 0.000 0.000 1
Rb1 0.442 0.000 0.520 1
Hg1 0.734 0.500 0.226 1
Sb1 0.237 0.500 0.219 1
```

Summary:
Total DFT energy (no corrections) ... -1.830 eV per atom
Polymorph energy (0 for the lowest one) ... 39 meV per atom
Formation energy without anion corrections ... -0.83 eV per formula unit



[2]
KRb2HgSe | PBE | optimized geometry

```
data_KRb2HgSe
_chemical_formula_sum 'K1 Rb2 Hg1 Se1'
_symmetry_space_group_name_H-M 'P 4/m m m'
_symmetry_Int_Tables_number 123
_symmetry_space_group_name_Hall '-P 4 2'
_cell_length_a 7.127
_cell_length_b 7.127
_cell_length_c 5.399
_cell_angle_alpha 90.00
_cell_angle_beta 90.00
_cell_angle_gamma 90.00
loop_
_atom_site_label
_atom_site_fract_x
_atom_site_fract_y
_atom_site_fract_z
_atom_site_occupancy
K1 0.000 0.000 0.000 1
Rb1 0.000 0.500 0.500 1
Hg1 0.500 0.500 0.500 1
Se1 0.500 0.500 0.000 1
```

Summary:
Total DFT energy (no corrections) ... -1.602 eV per atom
Polymorph energy (0 for the lowest one) ... 352 meV per atom
Formation energy without anion corrections ... -1.19 eV per formula unit



[3]
KRb2HgSe | PBE | optimized geometry

```
data_KRb2HgSe
_chemical_formula_sum 'K1 Rb2 Hg1 Se1'
_symmetry_space_group_name_H-M 'P 4/m m m'
_symmetry_Int_Tables_number 123
_symmetry_space_group_name_Hall '-P 4 2'
_cell_length_a 6.663
_cell_length_b 6.663
_cell_length_c 6.293
_cell_angle_alpha 90.00
_cell_angle_beta 90.00
_cell_angle_gamma 90.00
loop_
_atom_site_label
_atom_site_fract_x
_atom_site_fract_y
_atom_site_fract_z
_atom_site_occupancy
K1 0.000 0.000 0.000 1
Rb1 0.000 0.500 0.500 1
Hg1 0.500 0.500 0.000 1
Se1 0.000 0.000 0.500 1
```

Summary:
Total DFT energy (no corrections) ... -1.954 eV per atom
Polymorph energy (0 for the lowest one) ... 0 meV per atom
Formation energy without anion corrections ... -2.95 eV per formula unit



[4]
KRbHgSe2 | PBE | optimized geometry

```
data_KRbHgSe2
_chemical_formula_sum 'K4 Rb4 Hg4 Se8'
_symmetry_space_group_name_H-M 'C m m e'
_symmetry_Int_Tables_number 67
_symmetry_space_group_name_Hall '-C 2a 2'
_cell_length_a 7.846
_cell_length_b 15.859
_cell_length_c 6.404
_cell_angle_alpha 90.00
_cell_angle_beta 90.00
_cell_angle_gamma 90.00
loop_
_atom_site_label
_atom_site_fract_x
_atom_site_fract_y
_atom_site_fract_z
_atom_site_occupancy
K1 0.250 0.000 0.000 1
Rb1 0.000 0.250 0.284 1
Hg1 0.000 0.000 0.500 1
Se1 0.000 0.125 0.732 1
```

Summary:
Total DFT energy (no corrections) ... -2.669 eV per atom
Formation energy without anion corrections ... -4.01 eV per formula unit



[5]
K2RbHgSe | PBE | optimized geometry

```
data_K2RbHgSe
_chemical_formula_sum 'K2 Rb1 Hg1 Se1'
_symmetry_space_group_name_H-M 'P 4/m m m'
_symmetry_Int_Tables_number 123
_symmetry_space_group_name_Hall '-P 4 2'
_cell_length_a 6.305
_cell_length_b 6.305
_cell_length_c 6.670
_cell_angle_alpha 90.00
_cell_angle_beta 90.00
_cell_angle_gamma 90.00
loop_
_atom_site_label
_atom_site_fract_x
_atom_site_fract_y
_atom_site_fract_z
_atom_site_occupancy
K1 0.000 0.500 0.000 1
Rb1 0.000 0.000 0.500 1
Hg1 0.500 0.500 0.500 1
Se1 0.000 0.000 0.000 1
```

Summary:
Total DFT energy (no corrections) ... -1.989 eV per atom
Formation energy without anion corrections ... -3.00 eV per formula unit



[6]
KRbSnHg | PBE | optimized geometry

```
data_KRbSnHg
_chemical_formula_sum 'K4 Rb4 Sn4 Hg4'
_symmetry_space_group_name_H-M 'F -4 3 m'
_symmetry_Int_Tables_number 216
_symmetry_space_group_name_Hall 'F -4 2 3'
_cell_length_a 8.150
_cell_length_b 8.150
_cell_length_c 8.150
_cell_angle_alpha 90.00
_cell_angle_beta 90.00
_cell_angle_gamma 90.00
loop_
_atom_site_label
_atom_site_fract_x
_atom_site_fract_y
_atom_site_fract_z
_atom_site_occupancy
K1 0.000 0.000 0.000 1
Rb1 0.250 0.250 0.750 1
Sn1 0.250 0.250 0.250 1
Hg1 0.000 0.000 0.500 1
```

Summary:
Total DFT energy (no corrections) ... -1.699 eV per atom
E_form ... -0.11 eV per atom



[7]
KRbSnHg2 | PBE | optimized geometry

```
data_KRbSnHg2
_chemical_formula_sum 'K1 Rb1 Sn1 Hg2'
_symmetry_space_group_name_H-M 'P 4/m m m'
_symmetry_Int_Tables_number 123
_symmetry_space_group_name_Hall '-P 4 2'
_cell_length_a 5.926
_cell_length_b 5.926
_cell_length_c 6.493
_cell_angle_alpha 90.00
_cell_angle_beta 90.00
_cell_angle_gamma 90.00
loop_
_atom_site_label
_atom_site_fract_x
_atom_site_fract_y
_atom_site_fract_z
_atom_site_occupancy
K1 0.000 0.000 0.000 1
Rb1 0.500 0.500 0.000 1
Sn1 0.000 0.000 0.500 1
Hg1 0.000 0.500 0.500 1
```

Summary:
Total DFT energy (no corrections) ... -1.356 eV per atom
E_form ... -0.02 eV per atom



[8]
K2RbSnHg | PBE | optimized geometry

```
data_K2RbSnHg
_chemical_formula_sum 'K2 Rb1 Sn1 Hg1'
_symmetry_space_group_name_H-M 'P 4/m m m'
_symmetry_Int_Tables_number 123
_symmetry_space_group_name_Hall '-P 4 2'
_cell_length_a 6.978
_cell_length_b 6.978
_cell_length_c 5.598
_cell_angle_alpha 90.00
_cell_angle_beta 90.00
_cell_angle_gamma 90.00
loop_
_atom_site_label
_atom_site_fract_x
_atom_site_fract_y
_atom_site_fract_z
_atom_site_occupancy
K1 0.000 0.500 0.000 1
Rb1 0.000 0.000 0.500 1
Sn1 0.500 0.500 0.000 1
Hg1 0.500 0.500 0.500 1
```

Summary:
Total DFT energy (no corrections) ... -1.520 eV per atom
Polymorph energy (0 for the lowest one) ... 14 meV per atom
E_form ... -0.03 eV per atom



[9]
K2RbSnHg | PBE | optimized geometry

```
data_K2RbSnHg
_chemical_formula_sum 'K2 Rb1 Sn1 Hg1'
_symmetry_space_group_name_H-M 'P 4/m m m'
_symmetry_Int_Tables_number 123
_symmetry_space_group_name_Hall '-P 4 2'
_cell_length_a 6.597
_cell_length_b 6.597
_cell_length_c 5.760
_cell_angle_alpha 90.00
_cell_angle_beta 90.00
_cell_angle_gamma 90.00
loop_
_atom_site_label
_atom_site_fract_x
_atom_site_fract_y
_atom_site_fract_z
_atom_site_occupancy
K1 0.000 0.500 0.000 1
Rb1 0.000 0.000 0.500 1
Sn1 0.500 0.500 0.500 1
Hg1 0.500 0.500 0.000 1
```

Summary:
Total DFT energy (no corrections) ... -1.534 eV per atom
Polymorph energy (0 for the lowest one) ... 0 meV per atom
E_form ... -0.04 eV per atom



[10]
KRb2SrHg | PBE | optimized geometry

```
data_KRb2SrHg
_chemical_formula_sum 'K1 Rb2 Sr1 Hg1'
_symmetry_space_group_name_H-M 'P 4/m m m'
_symmetry_Int_Tables_number 123
_symmetry_space_group_name_Hall '-P 4 2'
_cell_length_a 7.072
_cell_length_b 7.072
_cell_length_c 6.585
_cell_angle_alpha 90.00
_cell_angle_beta 90.00
_cell_angle_gamma 90.00
loop_
_atom_site_label
_atom_site_fract_x
_atom_site_fract_y
_atom_site_fract_z
_atom_site_occupancy
K1 0.000 0.000 0.000 1
Rb1 0.000 0.500 0.500 1
Sr1 0.500 0.500 0.000 1
Hg1 0.500 0.500 0.500 1
```

Summary:
Total DFT energy (no corrections) ... -1.047 eV per atom
E_form ... -0.04 eV per atom



[11]
K2RbSrHg | PBE | optimized geometry

```
data_K2RbSrHg
_chemical_formula_sum 'K2 Rb1 Sr1 Hg1'
_symmetry_space_group_name_H-M 'P 4/m m m'
_symmetry_Int_Tables_number 123
_symmetry_space_group_name_Hall '-P 4 2'
_cell_length_a 6.872
_cell_length_b 6.872
_cell_length_c 6.538
_cell_angle_alpha 90.00
_cell_angle_beta 90.00
_cell_angle_gamma 90.00
loop_
_atom_site_label
_atom_site_fract_x
_atom_site_fract_y
_atom_site_fract_z
_atom_site_occupancy
K1 0.000 0.500 0.000 1
Rb1 0.000 0.000 0.500 1
Sr1 0.500 0.500 0.500 1
Hg1 0.500 0.500 0.000 1
```

Summary:
Total DFT energy (no corrections) ... -1.093 eV per atom
E_form ... -0.06 eV per atom



[12]
KRbSr2Hg | PBE | optimized geometry

```
data_KRbSr2Hg
_chemical_formula_sum 'K1 Rb1 Sr2 Hg1'
_symmetry_space_group_name_H-M 'P 4/m m m'
_symmetry_Int_Tables_number 123
_symmetry_space_group_name_Hall '-P 4 2'
_cell_length_a 6.470
_cell_length_b 6.470
_cell_length_c 7.072
_cell_angle_alpha 90.00
_cell_angle_beta 90.00
_cell_angle_gamma 90.00
loop_
_atom_site_label
_atom_site_fract_x
_atom_site_fract_y
_atom_site_fract_z
_atom_site_occupancy
K1 0.000 0.000 0.000 1
Rb1 0.500 0.500 0.000 1
Sr1 0.000 0.500 0.500 1
Hg1 0.500 0.500 0.500 1
```

Summary:
Total DFT energy (no corrections) ... -1.223 eV per atom
Polymorph energy (0 for the lowest one) ... 12 meV per atom
E_form ... -0.08 eV per atom



Looking at V for the records above, in order, we have 220, 274, 279, 797, 265, 541, 228, 273, 251, 329, 309, 296 Å³ per cell.